BeNb2PbBr, optimized geometry, DFT PBE-GGA; space group = P4/mmm, No. 123
1.0
4.813 0.000 0.000
0.000 4.813 0.000
0.000 0.000 4.265
Be Nb Pb Br
1 2 1 1
direct
0.000 0.000 0.000
0.000 0.500 0.000
0.500 0.000 0.000
0.500 0.500 0.500
0.000 0.000 0.500

BeNbRuBr2, optimized geometry, DFT PBE-GGA; space group = P4/mmm, No. 123
1.0
5.119 0.000 0.000
0.000 5.119 0.000
0.000 0.000 4.884
Be Nb Ru Br
1 1 1 2
direct
0.000 0.000 0.000
0.500 0.500 0.500
0.500 0.500 0.000
0.000 0.500 0.500
0.500 0.000 0.500

BeNb2SBr, optimized geometry, DFT PBE-GGA; space group = P4/mmm, No. 123
1.0
4.637 0.000 0.000
0.000 4.637 0.000
0.000 0.000 3.815
Be Nb S Br
1 2 1 1
direct
0.000 0.000 0.000
0.000 0.500 0.000
0.500 0.000 0.000
0.000 0.000 0.500
0.500 0.500 0.500

BeNbSe2Br, optimized geometry, DFT PBE-GGA; polymorph energy (0 for the lowest one) = 12 meV per atom; space group = P4/mmm, No. 123
1.0
4.641 0.000 0.000
0.000 4.641 0.000
0.000 0.000 4.598
Be Nb Se Br
1 1 2 1
direct
0.000 0.000 0.000
0.500 0.500 0.500
0.000 0.500 0.000
0.500 0.000 0.000
0.000 0.000 0.500

BeNbSe2Br, optimized geometry, DFT PBE-GGA; polymorph energy (0 for the lowest one) = 0 meV per atom; space group = P4/mmm, No. 123
1.0
5.035 0.000 0.000
0.000 5.035 0.000
0.000 0.000 5.265
Be Nb Se Br
1 1 2 1
direct
0.000 0.000 0.000
0.500 0.500 0.500
0.000 0.500 0.500
0.500 0.000 0.500
0.500 0.500 0.000

NdBeBr, optimized geometry, DFT PBE-GGA; space group = Cmcm, No. 63
1.0
2.082 -8.457 0.000
2.082 8.457 0.000
0.000 0.000 4.030
Nd Be Br
2 2 2
direct
0.090 0.910 0.750
0.910 0.090 0.250
0.475 0.525 0.750
0.525 0.475 0.250
0.334 0.666 0.750
0.666 0.334 0.250

Results for Fermi-level density of states: 1.156, 1.687, 0.862, 0.477, 0.608, 0.488 (in states/eV/atom, following the order of the records).
Results for energy relative to the elements, uncorrected: 905, 1108, 562, 319, 307, -729 (in meV per atom, following the order of the records).